Here is a relaxed structure of Li2TiMn2NiO8 from Alexandria via LeMat-Bulk. Energies are from PBEsol.

Unit cell a=10.036 b=5.720 c=5.796 alpha=90.00 beta=124.81 gamma=90.00
Space group C2/m (No. 12)
Symmetry-distinct sites (fractional):
Li: 0.119 0.000 0.366 (multiplicity 4)
Ti: 0.000 0.500 0.000 (multiplicity 2)
Mn: 0.250 0.250 0.000 (multiplicity 4)
Ni: 0.000 0.500 0.500 (multiplicity 2)
O: 0.021 0.265 0.779 (multiplicity 8)
O: 0.241 0.500 0.216 (multiplicity 4)
O: 0.245 0.500 0.779 (multiplicity 4)

Properties
Formation energy without anion corrections: -1950 meV per atom
Density of states at the Fermi level: 2.7 states/eV/f.u.
Spin magnetization: 15.67 μB/cell



Here is a relaxed structure of Ca3MnB from Alexandria via LeMat-Bulk. Energies are from PBEsol.

Unit cell a=5.199 b=5.199 c=5.199 alpha=90.00 beta=90.00 gamma=90.00
Space group Pm-3m (No. 221)
Symmetry-distinct sites (fractional):
Ca: 0.000 0.000 0.500 (multiplicity 3)
Mn: 0.500 0.500 0.500 (multiplicity 1)
B: 0.000 0.000 0.000 (multiplicity 1)

Properties
Density of states at the Fermi level: 7.6 states/eV/f.u.
Spin magnetization: 3.63 μB/cell
Energy relative to the elements: 649 meV/atom



Here is a relaxed structure of Zn2ReCl from Alexandria via LeMat-Bulk. Energies are from PBEsol.

Unit cell a=9.863 b=2.741 c=4.739 alpha=90.00 beta=105.27 gamma=90.00
Space group Cm (No. 8)
Symmetry-distinct sites (fractional):
Zn: 0.000 0.000 0.000 (multiplicity 2)
Zn: 0.202 0.000 0.647 (multiplicity 2)
Re: 0.462 0.000 0.507 (multiplicity 2)
Cl: 0.280 0.500 0.198 (multiplicity 2)

Properties
Formation energy without anion corrections: 265 meV per atom
Density of states at the Fermi level: 0.4 states/eV/f.u.
Spin magnetization: 0.00 μB/cell